VASP calculation (GGA-PBE) on a geometry-optimized ThMgGePt structure.

Structure (POSCAR):
```
ThMgGePt
1.0
0.000 3.504 3.504
3.504 0.000 3.504
3.504 3.504 0.000
Th Mg Ge Pt
1 1 1 1
Direct
0.000 0.000 0.000
0.500 0.500 0.500
0.250 0.250 0.250
0.750 0.750 0.750
```

Properties
**N(E_F)**: 0.419 states/eV/atom
**Total energy**: -5.638 eV per atom


VASP calculation (GGA-PBE) on a geometry-optimized TmMgGePt structure.

Structure (POSCAR):
```
TmMgGePt
1.0
0.000 3.374 3.374
3.374 0.000 3.374
3.374 3.374 0.000
Tm Mg Ge Pt
1 1 1 1
Direct
0.000 0.000 0.000
0.500 0.500 0.500
0.250 0.250 0.250
0.750 0.750 0.750
```

Properties
**N(E_F)**: 0.693 states/eV/atom
**Total energy**: -4.946 eV per atom


VASP calculation (GGA-PBE) on a geometry-optimized MgUGe2Pt2 structure.

Structure (POSCAR):
```
MgUGe2Pt2
1.0
4.386 0.000 0.000
-2.193 3.799 0.000
0.000 0.000 6.596
Mg U Ge Pt
1 1 2 2
Direct
0.000 0.000 0.000
0.000 0.000 0.500
0.333 0.667 0.229
0.667 0.333 0.771
0.333 0.667 0.778
0.667 0.333 0.222
```

Properties
**N(E_F)**: 1.208 states/eV/atom
**Total energy**: -6.295 eV per atom


VASP calculation (GGA-PBE) on a geometry-optimized MgU2Ge3Pt4 structure.

Structure (POSCAR):
```
MgU2Ge3Pt4
1.0
4.065 0.000 0.000
0.000 4.065 0.000
0.000 0.000 11.408
Mg U Ge Pt
1 2 3 4
Direct
0.000 0.000 0.000
0.000 0.500 0.742
0.500 0.000 0.258
0.000 0.500 0.366
0.500 0.000 0.634
0.500 0.500 0.000
0.000 0.000 0.500
0.000 0.500 0.151
0.500 0.000 0.849
0.500 0.500 0.500
```

Properties
**N(E_F)**: 1.658 states/eV/atom
**Total energy**: -6.790 eV per atom


VASP calculation (GGA-PBE) on a geometry-optimized Y2MgGe4Pt3 structure.

Structure (POSCAR):
```
Y2MgGe4Pt3
1.0
4.152 0.000 0.000
0.000 4.152 0.000
0.000 0.000 11.110
Y Mg Ge Pt
2 1 4 3
Direct
0.000 0.500 0.247
0.500 0.000 0.753
0.500 0.500 0.000
0.000 0.000 0.500
0.000 0.500 0.853
0.500 0.000 0.147
0.500 0.500 0.500
0.000 0.000 0.000
0.000 0.500 0.632
0.500 0.000 0.368
```

Properties
**N(E_F)**: 0.280 states/eV/atom
**Total energy**: -5.950 eV per atom


VASP calculation (GGA-PBE) on a geometry-optimized Mg2ZnGe2Pt5 structure.

Structure (POSCAR):
```
Mg2ZnGe2Pt5
1.0
9.897 0.000 0.000
0.000 9.897 0.000
0.000 0.000 3.389
Mg Zn Ge Pt
4 2 4 10
Direct
0.167 0.333 0.000
0.333 0.833 0.000
0.667 0.167 0.000
0.833 0.667 0.000
0.000 0.000 0.000
0.500 0.500 0.000
0.139 0.639 0.000
0.361 0.139 0.000
0.639 0.861 0.000
0.861 0.361 0.000
0.000 0.500 0.500
0.027 0.794 0.500
0.206 0.027 0.500
0.294 0.527 0.500
0.473 0.294 0.500
0.500 0.000 0.500
0.527 0.706 0.500
0.706 0.473 0.500
0.794 0.973 0.500
0.973 0.206 0.500
```

Properties
**N(E_F)**: 0.284 states/eV/atom
**Total energy**: -4.917 eV per atom


VASP calculation (GGA-PBE) on a geometry-optimized PuMgGe2 structure.

Structure (POSCAR):
```
PuMgGe2
1.0
0.000 3.457 3.457
3.457 0.000 3.457
3.457 3.457 0.000
Pu Mg Ge
1 1 2
Direct
0.000 0.000 0.000
0.500 0.500 0.500
0.250 0.250 0.250
0.750 0.750 0.750
```

Properties
**N(E_F)**: 2.110 states/eV/atom
**Polymorph energy (0 for the lowest one)**: 23 kJ/mol of formula units
**Total energy**: -6.586 eV per atom


VASP calculation (GGA-PBE) on a geometry-optimized Pu2MgGe2 structure.

Structure (POSCAR):
```
Pu2MgGe2
1.0
7.622 0.000 0.000
0.000 7.622 0.000
0.000 0.000 3.941
Pu Mg Ge
4 2 4
Direct
0.131 0.369 0.000
0.369 0.869 0.000
0.631 0.131 0.000
0.869 0.631 0.000
0.000 0.000 0.500
0.500 0.500 0.500
0.169 0.669 0.500
0.331 0.169 0.500
0.669 0.831 0.500
0.831 0.331 0.500
```

Properties
**N(E_F)**: 3.658 states/eV/atom
**Total energy**: -8.237 eV per atom